[1]
Crystalline LaCd2 at its relaxed geometry, computed with GGA-PBE.

a b c (Å): 3.738 3.738 7.353
angles (deg): 90.00 90.00 120.00
Element x y z (fractional)
Cd1 0.000 0.000 0.978
Cd2 0.333 0.667 0.689
La1 0.667 0.333 0.333

Results
For the total magnetization, the calculation gives 0.0 μB/cell. As for the space group: P-3m1 (164). The formation energy from the elements comes out at -0.09 eV per atom. For the electronic total energy, the calculation gives -2.342 eV/atom. The calculation puts the mass density at 6.8 g/cm3.


[2]
Crystalline LaCd at its relaxed geometry, computed with GGA-PBE.

a b c (Å): 4.034 4.036 7.528
angles (deg): 90.00 90.00 90.00
Element x y z (fractional)
Cd1 0.000 0.000 0.984
Cd2 0.500 0.500 0.766
La1 0.000 0.000 0.529
La2 0.500 0.500 0.221

Results
For the total magnetization, the calculation gives 0.0 μB/cell. As for the space group: P4/nmm (129). The formation energy from the elements comes out at -0.17 eV per atom. For the electronic total energy, the calculation gives -3.093 eV/atom. The calculation puts the mass density at 6.8 g/cm3.


[3]
Crystalline La7Cd3 at its relaxed geometry, computed with GGA-PBE.

a b c (Å): 7.199 10.417 10.417
angles (deg): 120.00 90.00 90.00
Element x y z (fractional)
La1 0.021 0.667 0.333
La2 0.521 0.333 0.667
La3 0.925 0.878 0.755
La4 0.925 0.878 0.122
La5 0.925 0.245 0.122
La6 0.425 0.122 0.245
La7 0.425 0.122 0.878
La8 0.425 0.755 0.878
La9 0.180 0.463 0.927
La10 0.180 0.463 0.537
La11 0.180 0.073 0.537
La12 0.680 0.537 0.073
La13 0.680 0.537 0.463
La14 0.680 0.927 0.463
Cd1 0.857 0.209 0.418
Cd2 0.857 0.209 0.791
Cd3 0.857 0.582 0.791
Cd4 0.357 0.791 0.582
Cd5 0.357 0.791 0.209
Cd6 0.357 0.418 0.209

Results
For the total magnetization, the calculation gives 0.0 μB/cell. As for the space group: P6_3mc (186). The formation energy from the elements comes out at -0.13 eV per atom. For the electronic total energy, the calculation gives -3.854 eV/atom. The calculation puts the mass density at 6.4 g/cm3.


[4]
Crystalline La2Cd7 at its relaxed geometry, computed with GGA-PBE.

a b c (Å): 6.042 6.042 14.954
angles (deg): 78.35 78.35 60.00
Element x y z (fractional)
La1 0.052 0.052 0.845
La2 0.948 0.948 0.155
La3 0.151 0.151 0.547
La4 0.849 0.849 0.453
Cd1 0.500 0.500 0.500
Cd2 0.278 0.278 0.166
Cd3 0.722 0.722 0.834
Cd4 0.390 0.390 0.831
Cd5 0.610 0.610 0.169
Cd6 0.500 0.000 0.000
Cd7 0.000 0.500 0.000
Cd8 0.500 0.500 0.000
Cd9 0.614 0.614 0.666
Cd10 0.614 0.106 0.666
Cd11 0.106 0.614 0.666
Cd12 0.386 0.386 0.334
Cd13 0.386 0.894 0.334
Cd14 0.894 0.386 0.334

Results
For the total magnetization, the calculation gives 0.0 μB/cell. As for the space group: R-3m (166). The formation energy from the elements comes out at -0.26 eV per atom. For the electronic total energy, the calculation gives -2.068 eV/atom. The calculation puts the mass density at 7.7 g/cm3.


[5]
Crystalline La2Cd at its relaxed geometry, computed with GGA-PBE.

a b c (Å): 4.921 4.921 16.074
angles (deg): 81.20 81.20 90.00
Element x y z (fractional)
Cd1 0.917 0.917 0.166
Cd2 0.083 0.083 0.834
Cd3 0.667 0.167 0.666
Cd4 0.833 0.333 0.334
La1 0.743 0.743 0.515
La2 0.257 0.257 0.485
La3 0.493 0.993 0.015
La4 0.007 0.507 0.985
La5 0.588 0.588 0.823
La6 0.412 0.412 0.177
La7 0.338 0.838 0.323
La8 0.162 0.662 0.677

Results
For the total magnetization, the calculation gives 0.0 μB/cell. As for the space group: I4_1/amd (141). The formation energy from the elements comes out at -0.16 eV per atom. For the electronic total energy, the calculation gives -3.750 eV/atom. The calculation puts the mass density at 6.8 g/cm3.


[6]
Crystalline La3Cd at its relaxed geometry, computed with GGA-PBE.

a b c (Å): 3.752 4.793 8.215
angles (deg): 90.00 62.59 90.00
Element x y z (fractional)
Cd1 0.000 0.000 0.000
La1 0.730 0.500 0.770
La2 0.500 0.000 0.500
La3 0.270 0.500 0.230

Results
For the total magnetization, the calculation gives 0.0 μB/cell. As for the space group: P2/m (10). The formation energy from the elements comes out at -0.12 eV per atom. For the electronic total energy, the calculation gives -4.049 eV/atom. The calculation puts the mass density at 6.7 g/cm3.


- What is the formation energy from the elements in the second record?
  -0.17 eV per atom


- Which of these has the lowest mass density?
  La7Cd3


- What is the formula in the second record?
  LaCd


- electronic total energy of number 5 (La2Cd)?
  -3.750 eV/atom